# 1
Here is an optimized crystal structure of Nb8Ru from Alexandria. Energies are from PBE-GGA.

a = 7.1334 Å, b = 7.1334 Å, c = 7.1334 Å
α = 93.06°, β = 93.06°, γ = 153.29°
Last column: nearest neighbours and their distance in Å.
Element x y z (fractional)
Nb1 0.0000 0.3310 0.3310  8 Nb 2.83-2.87
Nb2 0.0000 0.6690 0.6690  8 Nb 2.83-2.87
Nb3 0.3310 0.0000 0.3310  8 Nb 2.83-2.87
Nb4 0.3367 0.3367 0.6733  2 Ru 2.80, 6 Nb 2.83-2.92
Nb5 0.3367 0.6633 0.0000  2 Ru 2.80, 6 Nb 2.83-2.92
Nb6 0.6633 0.3367 0.0000  2 Ru 2.80, 6 Nb 2.83-2.92
Nb7 0.6633 0.6633 0.3267  2 Ru 2.80, 6 Nb 2.83-2.92
Nb8 0.6690 0.0000 0.6690  8 Nb 2.83-2.87
Ru1 0.0000 0.0000 0.0000  8 Nb 2.80

Formation energy from the elements   -135 meV/atom


# 2
Here is an optimized crystal structure of La3Er from Alexandria. Energies are from PBE-GGA.

a = 5.1921 Å, b = 5.1921 Å, c = 5.1921 Å
α = 90.00°, β = 90.00°, γ = 90.00°
Last column: nearest neighbours and their distance in Å.
Element x y z (fractional)
La1 0.0000 0.0000 0.5000  8 La 3.67, 4 Er 3.67
La2 0.0000 0.5000 0.0000  8 La 3.67, 4 Er 3.67
La3 0.5000 0.0000 0.0000  8 La 3.67, 4 Er 3.67
Er1 0.5000 0.5000 0.5000  12 La 3.67

Formation energy from the elements   7 meV/atom


# 3
Here is an optimized crystal structure of LiDyNi10 from Alexandria. Energies are from PBE-GGA.

a = 3.9713 Å, b = 4.7863 Å, c = 8.2891 Å
α = 90.00°, β = 90.00°, γ = 90.00°
Last column: nearest neighbours and their distance in Å.
Element x y z (fractional)
Li1 0.0000 0.0000 0.0000  6 Ni 2.65-2.73
Dy1 0.0000 0.5000 0.5000  18 Ni 2.82-3.12
Ni1 0.0000 0.0000 0.3201  6 Ni 2.40-2.48, 1 Li 2.65
Ni2 0.0000 0.0000 0.6799  6 Ni 2.40-2.48, 1 Li 2.65
Ni3 0.0000 0.5000 0.1581  7 Ni 2.38-2.62
Ni4 0.0000 0.5000 0.8419  7 Ni 2.38-2.62
Ni5 0.5000 0.0000 0.5000  8 Ni 2.41-2.48
Ni6 0.5000 0.2508 0.2484  8 Ni 2.38-2.43
Ni7 0.5000 0.2508 0.7516  8 Ni 2.38-2.43
Ni8 0.5000 0.5000 0.0000  8 Ni 2.38
Ni9 0.5000 0.7492 0.2484  8 Ni 2.38-2.43
Ni10 0.5000 0.7492 0.7516  8 Ni 2.38-2.43

Formation energy from the elements   -102 meV/atom


# 4
Here is an optimized crystal structure of BeMoAs2 from Alexandria. Energies are from PBE-GGA.

a = 6.8477 Å, b = 6.8477 Å, c = 6.8477 Å
α = 27.78°, β = 27.78°, γ = 27.78°
Last column: nearest neighbours and their distance in Å.
Element x y z (fractional)
Be1 0.0000 0.0000 0.0000  6 As 2.43
Mo1 0.5000 0.5000 0.5000  6 As 2.60
As1 0.2566 0.2566 0.2566  3 Be 2.43, 3 Mo 2.60
As2 0.7434 0.7434 0.7434  3 Be 2.43, 3 Mo 2.60

Formation energy from the elements   71 meV/atom


no.,total magnetization (μB/atom)
1,0.000
2,0.000
3,0.344
4,0.000